KZn3Pb: optimized geometry, PBE-GGA.

Cell and atoms, written as POSCAR:
```
KZn3Pb
1.0
5.6690 0.0000 0.0000
0.0000 5.6690 0.0000
0.0000 0.0000 5.6690
Pb Zn K
1 3 1
Direct
0.5000 0.5000 0.5000
0.0000 0.5000 0.0000
0.0000 0.0000 0.5000
0.5000 0.0000 0.0000
0.0000 0.0000 0.0000
```

Calculated values
As for the energy above the most stable polymorph in this dataset: 568 meV/atom. The total energy is -0.827 eV per atom. The spin magnetization comes out at 0.000 μB per atom. The space group is Pm-3m. The value obtained for the formation enthalpy at 0 K is 0.898 eV/atom.

Y2SnBi: optimized geometry, PBE-GGA.

Cell and atoms, written as POSCAR:
```
Y2SnBi
1.0
0.0000 3.8547 3.8547
3.8547 0.0000 3.8547
3.8547 3.8547 0.0000
Y Bi Sn
2 1 1
Direct
0.2500 0.2500 0.2500
0.7500 0.7500 0.7500
0.5000 0.5000 0.5000
0.0000 0.0000 0.0000
```

Calculated values
As for the energy above the most stable polymorph in this dataset: 250 meV/atom. The total energy is -5.767 eV per atom. The spin magnetization comes out at 0.000 μB per atom. The space group is Fm-3m. The value obtained for the formation enthalpy at 0 K is -0.564 eV/atom.

NpFeH4: optimized geometry, PBE-GGA.

Cell and atoms, written as POSCAR:
```
NpFeH4
1.0
3.3885 0.0000 -1.0490
0.0000 4.7644 0.0000
0.0285 0.0000 6.0893
Np Fe H
2 2 8
Direct
0.3693 0.7500 0.7386
0.6307 0.2500 0.2614
0.0984 0.7500 0.1969
0.9016 0.2500 0.8031
0.1973 0.5086 0.3947
0.8027 0.4914 0.6053
0.1973 0.9914 0.3947
0.8027 0.0086 0.6053
0.5875 0.7500 0.1750
0.4125 0.2500 0.8250
0.0000 0.5000 0.0000
0.0000 0.0000 0.0000
```

Calculated values
The total energy is -5.948 eV per atom. The spin magnetization comes out at 0.784 μB per atom. The space group is Cmcm.